[1]
First-principles (meta-GGA SCAN) data for a crystal of ZnCdIn2 relaxed with PBEsol, as listed in the Alexandria database.

Its formation energy from the elements is 12.1 kJ/mol of atoms. Its energy above the lowest structure with this stoichiometry is 45 meV per atom.

Unit cell a=3.170 b=3.170 c=8.485 alpha=90.00 beta=90.00 gamma=90.00
Space group P4/mmm (No. 123)
Inequivalent atoms, fractional coordinates:
Zn 0.000 0.000 0.000
Cd 0.000 0.000 0.500
In 0.500 0.500 0.230

=====

[2]
First-principles (meta-GGA SCAN) data for a crystal of SrSb2Ir relaxed with PBEsol, as listed in the Alexandria database.

As for the uncorrected formation energy: -0.3878 eV/atom.

Unit cell a=3.475 b=5.719 c=10.088 alpha=90.00 beta=90.00 gamma=90.00
Space group Immm (No. 71)
Inequivalent atoms, fractional coordinates:
Sr 0.000 0.000 0.000
Sb 0.000 0.500 0.197
Ir 0.000 0.000 0.500

=====

[3]
First-principles (meta-GGA SCAN) data for a crystal of Ta2Ru relaxed with PBEsol, as listed in the Alexandria database.

Its formation energy from the elements is -33.3 kJ/mol of atoms.

Unit cell a=3.165 b=13.485 c=4.530 alpha=90.00 beta=90.00 gamma=90.00
Space group Cmcm (No. 63)
Inequivalent atoms, fractional coordinates:
Ta 0.000 0.081 0.250
Ta 0.000 0.247 0.750
Ru 0.000 0.419 0.250

=====

[4]
First-principles (meta-GGA SCAN) data for a crystal of RbHgPtRh2 relaxed with PBEsol, as listed in the Alexandria database.

Its formation energy from the elements is 65.2 kJ/mol of atoms.

Unit cell a=4.853 b=4.853 c=5.232 alpha=90.00 beta=90.00 gamma=90.00
Space group P4/mmm (No. 123)
Inequivalent atoms, fractional coordinates:
Rb 0.000 0.000 0.000
Hg 0.500 0.500 0.000
Pt 0.500 0.500 0.500
Rh 0.000 0.500 0.500

=====

D(E_F)? In order: 1.61, 2.00, 1.79, 2.93 states/eV/f.u..
Total DFT energy (no corrections)? In order: -27.550, -42.362, -56.342, -44.653 eV/atom.